Here is crystalline YThCuPt at its relaxed geometry from Alexandria via LeMat-Bulk. Energies are from PBE.

Values from the calculation:
- ΔH_f (0 K) (eV per atom) = -0.632
- crystal system = cubic
- space group = No. 216
- energy relative to the lowest polymorph listed for this composition (kJ/mol of formula units) = 35

Lattice parameters (Å, degrees): 5.0367 5.0367 5.0367 60.00 60.00 60.00
Last column: nearest neighbours and their distance in Å.
Sites, in units of the cell vectors:
Y1 0.5000 0.5000 0.5000  4 Cu 3.08, 4 Pt 3.08
Cu1 0.7500 0.7500 0.7500  4 Y 3.08, 4 Th 3.08
Pt1 0.2500 0.2500 0.2500  4 Y 3.08, 4 Th 3.08
Th1 0.0000 0.0000 0.0000  4 Cu 3.08, 4 Pt 3.08